No. 1
{"formula": "ReNiPS2", "functional": "PBEsol", "state": "optimized geometry", "cell": [[4.508, 0.000, 0.000], [0.000, 4.508, 0.000], [0.000, 0.000, 4.665]], "species": ["S", "P", "S", "Re", "Ni"], "fractional_positions": [[0.000, 0.500, 0.000], [0.000, 0.000, 0.500], [0.500, 0.000, 0.000], [0.000, 0.000, 0.000], [0.500, 0.500, 0.500]], "final_energy_ev_per_atom": -5.90, "raw_formation_energy_mev_per_atom": 907, "m_tot_mub_per_fu": 0.8, "sg": "No. 123"}



No. 2
{"formula": "ReNiPS2", "functional": "PBEsol", "state": "optimized geometry", "cell": [[-3.279, 2.383, -1.114], [0.036, -1.751, -3.855], [-2.649, -3.017, 1.345]], "species": ["S", "Re", "S", "P", "Ni"], "fractional_positions": [[0.000, 0.000, 0.500], [0.500, 0.500, 0.500], [0.000, 0.500, 0.000], [0.500, 0.000, 0.000], [0.000, 0.000, 0.000]], "final_energy_ev_per_atom": -5.78, "raw_formation_energy_mev_per_atom": 1031, "m_tot_mub_per_fu": 0.0, "sg": "No. 123"}



No. 3
{"formula": "NiPRh", "functional": "PBEsol", "state": "optimized geometry", "cell": [[3.465, 0.000, 0.000], [0.000, 3.465, 0.000], [0.000, 0.000, 5.835]], "species": ["P", "Rh", "Ni", "P", "Rh", "Ni"], "fractional_positions": [[0.000, 0.500, 0.752], [0.000, 0.500, 0.368], [0.500, 0.500, 0.000], [0.500, 0.000, 0.248], [0.500, 0.000, 0.632], [0.000, 0.000, 0.000]], "final_energy_ev_per_atom": -7.42, "m_tot_mub_per_fu": 0.0, "sg": "No. 129", "ef_mev_per_atom": -727}



No. 4
{"formula": "NiPRh", "functional": "PBEsol", "state": "optimized geometry", "cell": [[3.483, 0.000, 0.000], [0.000, 5.897, 0.000], [0.000, -2.948, 5.107]], "species": ["Ni", "Rh", "Ni", "Rh", "P", "Rh", "P", "P", "Ni"], "fractional_positions": [[0.000, 0.000, 0.742], [0.500, 0.000, 0.392], [0.000, 0.742, 0.000], [0.500, 0.608, 0.608], [0.000, 0.333, 0.667], [0.500, 0.392, 0.000], [0.000, 0.667, 0.333], [0.500, 0.000, 0.000], [0.000, 0.258, 0.258]], "final_energy_ev_per_atom": -7.36, "m_tot_mub_per_fu": 0.0, "sg": "No. 189", "ef_mev_per_atom": -664}



No. 5
{"formula": "NiP2Rh", "functional": "PBEsol", "state": "optimized geometry", "cell": [[2.843, 0.000, 0.000], [0.000, 3.906, -0.034], [0.000, -1.857, 4.459]], "species": ["P", "P", "Ni", "Rh"], "fractional_positions": [[0.500, 0.500, 0.500], [0.000, 0.000, 0.000], [0.000, 0.000, 0.500], [0.500, 0.500, 0.000]], "final_energy_ev_per_atom": -6.76, "m_tot_mub_per_fu": 0.0, "sg": "No. 10", "ef_mev_per_atom": -292}



No. 6
{"formula": "Ni2PRh", "functional": "PBEsol", "state": "optimized geometry", "cell": [[3.318, 0.000, 0.000], [-1.659, 3.893, 0.008], [0.000, -2.236, 3.664]], "species": ["Ni", "P", "Ni", "Rh"], "fractional_positions": [[0.203, 0.407, 0.654], [0.505, 0.010, 0.635], [0.996, 0.993, 0.960], [0.795, 0.590, 0.251]], "final_energy_ev_per_atom": -6.95, "m_tot_mub_per_fu": 0.0, "sg": "No. 8", "ef_mev_per_atom": -385}



No. 7
{"formula": "Ni2PRh", "functional": "PBEsol", "state": "optimized geometry", "cell": [[2.912, 0.000, 0.000], [0.000, 2.912, 0.000], [0.000, 0.000, 5.353]], "species": ["P", "Ni", "Rh", "Ni"], "fractional_positions": [[0.000, 0.000, 0.471], [0.000, 0.000, 0.030], [0.500, 0.500, 0.738], [0.500, 0.500, 0.262]], "final_energy_ev_per_atom": -6.79, "m_tot_mub_per_fu": 0.0, "sg": "No. 99", "ef_mev_per_atom": -230}



No. 8
{"formula": "NiPRh", "functional": "PBEsol", "state": "optimized geometry", "cell": [[3.778, 0.000, 0.000], [1.889, 3.272, 0.000], [1.889, 1.091, 3.085]], "species": ["Rh", "Ni", "P"], "fractional_positions": [[0.000, 0.000, 0.000], [0.500, 0.500, 0.500], [0.250, 0.250, 0.250]], "final_energy_ev_per_atom": -7.36, "m_tot_mub_per_fu": 0.0, "sg": "No. 216", "ef_mev_per_atom": -665}